[1]
Material: AcCuHgPd3
Method: DFT, GGA-PBE
State: optimized geometry

Unit cell a=5.848 b=6.854 c=7.334 alpha=117.86 beta=90.00 gamma=90.00
Fractional positions:
Ac1 0.750 0.311 0.623
Hg1 0.250 0.932 0.865
Pd1 0.750 0.838 0.676
Pd2 0.500 0.306 0.000
Cu1 0.250 0.362 0.724
Hg2 0.750 0.068 0.135
Ac2 0.250 0.689 0.377
Pd3 0.250 0.162 0.324
Pd4 0.000 0.694 0.000
Pd5 0.500 0.694 0.000
Cu2 0.750 0.638 0.276
Pd6 0.000 0.306 0.000

Results
**E**: -51.62 eV/cell
**Space-group type**: No. 63

---

[2]
Material: Ac2CuHg2Pd4
Method: DFT, GGA-PBE
State: optimized geometry

Unit cell a=6.515 b=6.515 c=6.515 alpha=94.38 beta=117.50 gamma=117.50
Fractional positions:
Pd1 0.000 0.270 0.730
Hg1 0.000 0.709 0.709
Cu1 0.000 0.000 0.000
Ac1 0.500 0.250 0.750
Pd2 0.459 0.730 0.730
Pd3 0.000 0.730 0.270
Pd4 0.541 0.270 0.270
Ac2 0.500 0.750 0.250
Hg2 0.000 0.291 0.291

Results
**E**: -37.84 eV/cell
**Space-group type**: No. 139